DFT (GGA-PBE) results for a geometry-optimized AcDyCu structure.

Calculated values
**Offset from the most stable computed form**: 0 meV per atom
**Total moment**: 0.00 μB per formula unit
**Formation energy from the elements**: -59 meV/atom

a b c (Å): 3.6857 3.6857 6.8793
angles (deg): 105.54 105.54 90.00
Closest atoms and distances in Å follow each position.
Element x y z (fractional)
Ac: 0.0187 0.0187 0.0375  4 Cu 3.37, 1 Dy 3.51, 4 Ac 3.69
Dy: 0.2944 0.2944 0.5888  4 Cu 2.94
Cu: 0.6869 0.6869 0.3737  4 Dy 2.94

DFT (GGA-PBE) results for a geometry-optimized AcDy2Cu structure.

Calculated values
**Offset from the most stable computed form**: 106 meV per atom
**Total moment**: 0.00 μB per formula unit
**Formation energy from the elements**: 48 meV/atom

a b c (Å): 3.8118 3.8118 10.1134
angles (deg): 79.14 79.14 60.00
Closest atoms and distances in Å follow each position.
Element x y z (fractional)
Ac: 0.5000 0.5000 0.5000  6 Ac 3.81, 6 Dy 3.82
Dy: 0.7279 0.7279 0.8162  3 Cu 2.85
Dy: 0.2721 0.2721 0.1838  3 Cu 2.85
Cu: 0.0000 0.0000 0.0000  6 Dy 2.85

DFT (GGA-PBE) results for a geometry-optimized AcDy3Cu structure.

Calculated values
**Total moment**: 0.00 μB per formula unit
**Formation energy from the elements**: 31 meV/atom

a b c (Å): 5.4539 5.4539 5.4539
angles (deg): 90.00 90.00 90.00
Closest atoms and distances in Å follow each position.
Element x y z (fractional)
Cu: 0.0000 0.0000 0.0000  6 Dy 2.73
Dy: 0.5000 0.0000 0.0000  2 Cu 2.73
Dy: 0.0000 0.0000 0.5000  2 Cu 2.73
Dy: 0.0000 0.5000 0.0000  2 Cu 2.73
Ac: 0.5000 0.5000 0.5000  12 Dy 3.86

DFT (GGA-PBE) results for a geometry-optimized AcDy2Cu structure.

Calculated values
**Offset from the most stable computed form**: 0 meV per atom
**Total moment**: 0.00 μB per formula unit
**Formation energy from the elements**: -59 meV/atom

a b c (Å): 3.6028 3.6028 8.9563
angles (deg): 90.00 90.00 90.00
Closest atoms and distances in Å follow each position.
Element x y z (fractional)
Cu: 0.5000 0.5000 0.0000  8 Dy 3.03
Ac: 0.5000 0.5000 0.5000  4 Ac 3.60, 8 Dy 3.82
Dy: 0.0000 0.0000 0.8177  4 Cu 3.03, 1 Dy 3.27
Dy: 0.0000 0.0000 0.1823  4 Cu 3.03, 1 Dy 3.27

DFT (GGA-PBE) results for a geometry-optimized AcDy2Ga2Cu2 structure.

Calculated values
**Total moment**: 0.00 μB per formula unit
**Formation energy from the elements**: -385 meV/atom

a b c (Å): 4.5062 4.5062 9.6977
angles (deg): 76.57 76.57 60.00
Closest atoms and distances in Å follow each position.
Element x y z (fractional)
Dy: 0.1275 0.1275 0.6174  3 Ga 2.91, 3 Cu 2.94
Dy: 0.8725 0.8725 0.3826  3 Ga 2.91, 3 Cu 2.94
Cu: 0.5876 0.5876 0.2371  3 Ga 2.60
Cu: 0.4124 0.4124 0.7629  3 Ga 2.60
Ac: 0.0000 0.0000 0.0000  6 Cu 3.42, 6 Ga 3.45, 2 Dy 3.57
Ga: 0.7474 0.7474 0.7577  3 Cu 2.60, 3 Dy 2.91
Ga: 0.2526 0.2526 0.2423  3 Cu 2.60, 3 Dy 2.91

DFT (GGA-PBE) results for a geometry-optimized AcDyGa2Cu2 structure.

Calculated values
**Total moment**: 0.00 μB per formula unit
**Formation energy from the elements**: -457 meV/atom

a b c (Å): 4.4658 4.4658 7.5786
angles (deg): 90.00 90.00 120.00
Closest atoms and distances in Å follow each position.
Element x y z (fractional)
Ac: 0.0000 0.0000 0.0000  6 Ga 3.40, 6 Cu 3.45, 2 Dy 3.79
Cu: 0.6667 0.3333 0.3030  3 Ga 2.58
Cu: 0.3333 0.6667 0.6970  3 Ga 2.58
Ga: 0.6667 0.3333 0.7071  3 Cu 2.58
Ga: 0.3333 0.6667 0.2929  3 Cu 2.58
Dy: 0.0000 0.0000 0.5000  6 Cu 2.98, 6 Ga 3.02